[1]
## HfCu2Pb (PBE)

Data for HfCu2Pb after structural relaxation.

a = 3.448 Å, b = 3.448 Å, c = 6.325 Å
α = 90.00°, β = 90.00°, γ = 90.00°
Space group P4/mmm (No. 123)
One atom of each set of equivalent atoms:
Hf  0.000  0.000  0.000 (multiplicity 1)
Cu  0.500  0.500  0.209 (multiplicity 2)
Pb  0.000  0.000  0.500 (multiplicity 1)


[2]
## HfCu2Pb (PBE)

Data for HfCu2Pb after structural relaxation.

a = 7.329 Å, b = 7.329 Å, c = 5.878 Å
α = 90.00°, β = 90.00°, γ = 90.00°
Space group I-42d (No. 122)
One atom of each set of equivalent atoms:
Hf  0.000  0.000  0.000 (multiplicity 4)
Cu  0.245  0.750  0.125 (multiplicity 8)
Pb  0.000  0.000  0.500 (multiplicity 4)


[3]
## HfCuPb (PBE)

Data for HfCuPb after structural relaxation.

a = 3.276 Å, b = 3.276 Å, c = 11.491 Å
α = 90.00°, β = 90.00°, γ = 90.00°
Space group I4mm (No. 107)
One atom of each set of equivalent atoms:
Hf  0.000  0.000  0.000 (multiplicity 2)
Cu  0.000  0.000  0.369 (multiplicity 2)
Pb  0.000  0.000  0.703 (multiplicity 2)


[4]
## HfCuPb2 (PBE)

Data for HfCuPb2 after structural relaxation.

Values from the calculation:
* energy above the most stable polymorph in this dataset: 11 meV per atom

a = 7.176 Å, b = 7.176 Å, c = 7.176 Å
α = 90.00°, β = 90.00°, γ = 90.00°
Space group Fm-3m (No. 225)
One atom of each set of equivalent atoms:
Hf  0.000  0.000  0.000 (multiplicity 4)
Cu  0.000  0.000  0.500 (multiplicity 4)
Pb  0.250  0.250  0.250 (multiplicity 8)


[5]
## HfCu4Pb (PBE)

Data for HfCu4Pb after structural relaxation.

a = 7.231 Å, b = 7.231 Å, c = 7.231 Å
α = 90.00°, β = 90.00°, γ = 90.00°
Space group F-43m (No. 216)
One atom of each set of equivalent atoms:
Hf  0.000  0.000  0.000 (multiplicity 4)
Cu  0.126  0.126  0.626 (multiplicity 16)
Pb  0.250  0.250  0.250 (multiplicity 4)


[6]
## HfCu2Pb (PBE)

Data for HfCu2Pb after structural relaxation.

a = 4.302 Å, b = 4.302 Å, c = 3.859 Å
α = 90.00°, β = 90.00°, γ = 90.00°
Space group P4/mmm (No. 123)
One atom of each set of equivalent atoms:
Hf  0.000  0.000  0.000 (multiplicity 1)
Cu  0.000  0.500  0.500 (multiplicity 2)
Pb  0.500  0.500  0.000 (multiplicity 1)


Record-wise E values, in eV/atom: -5.41; -5.12; -5.83; -4.93; -4.92; -5.39
Record-wise formation energy from the elements values, in eV per atom: 0.05; 0.35; 0.09; 0.44; 0.09; 0.08